K3SmEr2O6: optimized geometry, GGA-PBE.

Unit cell a=6.0500 b=6.0500 c=6.5820 alpha=98.81 beta=98.81 gamma=120.00
Last column: nearest neighbours and their distance in Å.
Sites, in units of the cell vectors:
K (0.8322, 0.1678, 0.5000)  6 O 2.77-2.85
K (0.1678, 0.8322, 0.5000)  6 O 2.77-2.85
K (0.5000, 0.5000, 0.5000)  6 O 2.78-2.84
O (0.7194, 0.7194, 0.1857)  2 Er 2.30, 1 Sm 2.38
O (0.0619, 0.4043, 0.1854)  2 Er 2.30, 1 Sm 2.38
O (0.5957, 0.9381, 0.8146)  2 Er 2.30, 1 Sm 2.38
O (0.2806, 0.2806, 0.8143)  2 Er 2.30, 1 Sm 2.38
O (0.4043, 0.0619, 0.1854)  2 Er 2.30, 1 Sm 2.38
O (0.9381, 0.5957, 0.8146)  2 Er 2.30, 1 Sm 2.38
Er (0.6667, 0.3333, 0.0000)  6 O 2.30
Er (0.3333, 0.6667, 0.0000)  6 O 2.30
Sm (0.0000, 0.0000, 0.0000)  6 O 2.38

The value obtained for the mass density is 5.8 g/cm³. For the raw formation energy, the calculation gives -2.7501 eV/atom.

=====

K3Sm2ErO6: optimized geometry, GGA-PBE.

Unit cell a=6.1321 b=6.1321 c=6.6054 alpha=98.90 beta=98.90 gamma=120.00
Last column: nearest neighbours and their distance in Å.
Sites, in units of the cell vectors:
Er (0.0000, 0.0000, 0.0000)  6 O 2.31
Sm (0.6667, 0.3333, 0.0000)  6 O 2.38
Sm (0.3333, 0.6667, 0.0000)  6 O 2.38
O (0.7380, 0.7380, 0.1869)  1 Er 2.31, 2 Sm 2.38
O (0.6133, 0.9375, 0.8127)  1 Er 2.31, 2 Sm 2.38
O (0.0625, 0.3867, 0.1873)  1 Er 2.31, 2 Sm 2.38
O (0.2620, 0.2620, 0.8131)  1 Er 2.31, 2 Sm 2.38
O (0.3867, 0.0625, 0.1873)  1 Er 2.31, 2 Sm 2.38
O (0.9375, 0.6133, 0.8127)  1 Er 2.31, 2 Sm 2.38
K (0.5000, 0.5000, 0.5000)  6 O 2.82-2.88
K (0.1652, 0.8348, 0.5000)  6 O 2.81-2.88
K (0.8348, 0.1652, 0.5000)  6 O 2.81-2.88

The value obtained for the mass density is 5.5 g/cm³. For the raw formation energy, the calculation gives -2.7058 eV/atom.

=====

KErSnO3: optimized geometry, GGA-PBE.

Unit cell a=3.4200 b=10.1040 c=7.0454 alpha=92.25 beta=90.00 gamma=90.00
Last column: nearest neighbours and their distance in Å.
Sites, in units of the cell vectors:
O (0.2500, 0.7850, 0.3602)  2 Sn 2.22, 1 Er 2.36
O (0.2500, 0.2425, 0.9729)  1 Sn 2.07, 2 Er 2.27
O (0.7500, 0.4864, 0.1736)  3 Er 2.25
O (0.2500, 0.5136, 0.8264)  3 Er 2.25
O (0.7500, 0.7575, 0.0271)  1 Sn 2.07, 2 Er 2.27
O (0.7500, 0.2150, 0.6398)  2 Sn 2.22, 1 Er 2.36
Sn (0.2500, 0.1021, 0.7518)  3 O 2.07-2.22
Sn (0.7500, 0.8979, 0.2482)  3 O 2.07-2.22
Er (0.2500, 0.6231, 0.1104)  6 O 2.25-2.36
Er (0.7500, 0.3769, 0.8896)  6 O 2.25-2.36
K (0.2500, 0.2983, 0.3434)  5 O 2.65-2.85
K (0.7500, 0.7017, 0.6566)  5 O 2.65-2.85

The value obtained for the mass density is 5.1 g/cm³. For the raw formation energy, the calculation gives -2.2925 eV/atom.

=====

K2Er2SnO6: optimized geometry, GGA-PBE.

Unit cell a=5.8106 b=5.8106 c=6.6475 alpha=98.07 beta=98.07 gamma=119.74
Last column: nearest neighbours and their distance in Å.
Sites, in units of the cell vectors:
Er (0.6654, 0.3346, 0.5000)  6 O 2.26-2.29
Er (0.3346, 0.6654, 0.5000)  6 O 2.26-2.29
Sn (0.0000, 0.0000, 0.5000)  6 O 2.11-2.16
O (0.0504, 0.3727, 0.6732)  1 Sn 2.16, 2 Er 2.26-2.29
O (0.9496, 0.6273, 0.3268)  1 Sn 2.16, 2 Er 2.26-2.29
O (0.7464, 0.7464, 0.6729)  1 Sn 2.11, 2 Er 2.29
O (0.3727, 0.0504, 0.6732)  1 Sn 2.16, 2 Er 2.26-2.29
O (0.6273, 0.9496, 0.3268)  1 Sn 2.16, 2 Er 2.26-2.29
O (0.2536, 0.2536, 0.3271)  1 Sn 2.11, 2 Er 2.29
K (0.1651, 0.8349, 0.0000)  6 O 2.78-2.93
K (0.8349, 0.1651, 0.0000)  6 O 2.78-2.93

The value obtained for the mass density is 5.6 g/cm³. For the raw formation energy, the calculation gives -2.4970 eV/atom.

=====

What did the third record say?
KErSnO3: optimized geometry, GGA-PBE.

Unit cell a=3.4200 b=10.1040 c=7.0454 alpha=92.25 beta=90.00 gamma=90.00
Last column: nearest neighbours and their distance in Å.
Sites, in units of the cell vectors:
O (0.2500, 0.7850, 0.3602)  2 Sn 2.22, 1 Er 2.36
O (0.2500, 0.2425, 0.9729)  1 Sn 2.07, 2 Er 2.27
O (0.7500, 0.4864, 0.1736)  3 Er 2.25
O (0.2500, 0.5136, 0.8264)  3 Er 2.25
O (0.7500, 0.7575, 0.0271)  1 Sn 2.07, 2 Er 2.27
O (0.7500, 0.2150, 0.6398)  2 Sn 2.22, 1 Er 2.36
Sn (0.2500, 0.1021, 0.7518)  3 O 2.07-2.22
Sn (0.7500, 0.8979, 0.2482)  3 O 2.07-2.22
Er (0.2500, 0.6231, 0.1104)  6 O 2.25-2.36
Er (0.7500, 0.3769, 0.8896)  6 O 2.25-2.36
K (0.2500, 0.2983, 0.3434)  5 O 2.65-2.85
K (0.7500, 0.7017, 0.6566)  5 O 2.65-2.85

The value obtained for the mass density is 5.1 g/cm³. For the raw formation energy, the calculation gives -2.2925 eV/atom.